[1]
Density functional theory data (PBE) for a relaxed LaGeBi3 crystal.

CIF file:
```
data_LaGeBi3
_chemical_formula_sum 'La1 Ge1 Bi3'
_cell_length_a 6.110
_cell_length_b 6.110
_cell_length_c 6.110
_cell_angle_alpha 90.00
_cell_angle_beta 90.00
_cell_angle_gamma 90.00
_symmetry_space_group_name_H-M 'P m -3 m'
_symmetry_Int_Tables_number 221
_symmetry_space_group_name_Hall '-P 4 2 3'
loop_
_atom_site_label
_atom_site_fract_x
_atom_site_fract_y
_atom_site_fract_z
La1 0.000 0.000 0.000
Ge1 0.500 0.500 0.500
Bi1 0.000 0.000 0.500
```

- DOS at the Fermi energy (states/eV/f.u.) = 5.416
- polymorph energy (0 for the lowest one) (eV per atom) = 0.6879
- energy of formation from the pure elements (eV/atom) = 0.7699


[2]
Density functional theory data (PBE) for a relaxed TaMo3 crystal.

CIF file:
```
data_TaMo3
_chemical_formula_sum 'Ta4 Mo12'
_cell_length_a 8.923
_cell_length_b 5.397
_cell_length_c 5.550
_cell_angle_alpha 90.00
_cell_angle_beta 90.00
_cell_angle_gamma 90.00
_symmetry_space_group_name_H-M 'C m c m'
_symmetry_Int_Tables_number 63
_symmetry_space_group_name_Hall '-C 2c 2'
loop_
_atom_site_label
_atom_site_fract_x
_atom_site_fract_y
_atom_site_fract_z
Ta1 0.000 0.000 0.000
Mo1 0.000 0.500 0.000
Mo2 0.245 0.341 0.250
```

- DOS at the Fermi energy (states/eV/f.u.) = 3.488
- energy of formation from the pure elements (eV/atom) = 0.1494


[3]
Density functional theory data (PBE) for a relaxed KBeSi crystal.

CIF file:
```
data_KBeSi
_chemical_formula_sum 'K4 Be4 Si4'
_cell_length_a 7.131
_cell_length_b 7.131
_cell_length_c 7.131
_cell_angle_alpha 90.00
_cell_angle_beta 90.00
_cell_angle_gamma 90.00
_symmetry_space_group_name_H-M 'F -4 3 m'
_symmetry_Int_Tables_number 216
_symmetry_space_group_name_Hall 'F -4 2 3'
loop_
_atom_site_label
_atom_site_fract_x
_atom_site_fract_y
_atom_site_fract_z
K1 0.000 0.000 0.000
Be1 0.250 0.250 0.750
Si1 0.250 0.250 0.250
```

- DOS at the Fermi energy (states/eV/f.u.) = 2.649
- polymorph energy (0 for the lowest one) (eV per atom) = 1.4115
- E_form (uncorrected) (eV per atom) = 1.72


Among the records above, which one has the lowest DOS at the Fermi energy?
KBeSi


The highest DOS at the Fermi energy belongs to which entry?
LaGeBi3


Number 1 is which compound?
LaGeBi3


Which value of DOS at the Fermi energy does entry 1 give?
5.416 states/eV/f.u.